[1]
# LiYLuAg PBE relaxed
# * ΔE_f: -0.112 eV/atom
# * total magnetic moment: 0.00 μB per formula unit
data_LiYLuAg
_chemical_formula_sum 'Li1 Y1 Lu1 Ag1'
_symmetry_space_group_name_H-M 'P 1'
_symmetry_Int_Tables_number 1
_cell_length_a 5.112
_cell_length_b 5.112
_cell_length_c 5.112
_cell_angle_alpha 60.00
_cell_angle_beta 60.00
_cell_angle_gamma 60.00
loop_
_symmetry_equiv_pos_as_xyz
'x,y,z'
loop_
_atom_site_label
_atom_site_type_symbol
_atom_site_fract_x
_atom_site_fract_y
_atom_site_fract_z
Ag1 Ag 0.000 0.000 0.000
Lu1 Lu 0.250 0.250 0.250
Li1 Li 0.500 0.500 0.500
Y1 Y 0.750 0.750 0.750

***

[2]
# Li2Mg2Ag3 PBE relaxed
# * ΔE to the lowest computed polymorph: 0 meV per atom
# * ΔE_f: -0.205 eV/atom
# * total magnetic moment: 0.00 μB per formula unit
data_Li2Mg2Ag3
_chemical_formula_sum 'Li2 Mg2 Ag3'
_symmetry_space_group_name_H-M 'P 1'
_symmetry_Int_Tables_number 1
_cell_length_a 3.907
_cell_length_b 5.164
_cell_length_c 8.037
_cell_angle_alpha 55.82
_cell_angle_beta 75.93
_cell_angle_gamma 67.77
loop_
_symmetry_equiv_pos_as_xyz
'x,y,z'
loop_
_atom_site_label
_atom_site_type_symbol
_atom_site_fract_x
_atom_site_fract_y
_atom_site_fract_z
Mg1 Mg 0.074 0.565 0.286
Mg2 Mg 0.926 0.435 0.714
Ag1 Ag 0.644 0.133 0.580
Ag2 Ag 0.356 0.867 0.420
Ag3 Ag 0.500 0.000 0.000
Li1 Li 0.209 0.732 0.851
Li2 Li 0.791 0.268 0.149

***

[3]
# Li2MgAg3 PBE relaxed
# * ΔE to the lowest computed polymorph: 0 meV per atom
# * ΔE_f: -0.225 eV/atom
# * total magnetic moment: 0.00 μB per formula unit
data_Li2MgAg3
_chemical_formula_sum 'Li4 Mg2 Ag6'
_symmetry_space_group_name_H-M 'P 1'
_symmetry_Int_Tables_number 1
_cell_length_a 4.643
_cell_length_b 7.244
_cell_length_c 6.261
_cell_angle_alpha 90.00
_cell_angle_beta 90.00
_cell_angle_gamma 73.87
loop_
_symmetry_equiv_pos_as_xyz
'x,y,z'
loop_
_atom_site_label
_atom_site_type_symbol
_atom_site_fract_x
_atom_site_fract_y
_atom_site_fract_z
Mg1 Mg 0.670 0.668 0.000
Mg2 Mg 0.330 0.332 0.000
Li1 Li 0.000 0.000 0.500
Li2 Li 0.000 0.000 0.000
Li3 Li 0.329 0.336 0.500
Li4 Li 0.671 0.664 0.500
Ag1 Ag 0.167 0.673 0.740
Ag2 Ag 0.167 0.673 0.260
Ag3 Ag 0.833 0.327 0.260
Ag4 Ag 0.500 0.000 0.259
Ag5 Ag 0.833 0.327 0.740
Ag6 Ag 0.500 0.000 0.741

***

[4]
# Li12MgAg6 PBE relaxed
# * ΔE to the lowest computed polymorph: 16 meV per atom
# * ΔE_f: -0.137 eV/atom
# * total magnetic moment: 0.00 μB per formula unit
data_Li12MgAg6
_chemical_formula_sum 'Li12 Mg1 Ag6'
_symmetry_space_group_name_H-M 'P 1'
_symmetry_Int_Tables_number 1
_cell_length_a 7.008
_cell_length_b 7.008
_cell_length_c 7.008
_cell_angle_alpha 89.52
_cell_angle_beta 89.52
_cell_angle_gamma 89.52
loop_
_symmetry_equiv_pos_as_xyz
'x,y,z'
loop_
_atom_site_label
_atom_site_type_symbol
_atom_site_fract_x
_atom_site_fract_y
_atom_site_fract_z
Li1 Li 0.423 0.807 0.523
Li2 Li 0.968 0.844 0.613
Li3 Li 0.523 0.423 0.807
Li4 Li 0.577 0.193 0.477
Li5 Li 0.613 0.968 0.844
Li6 Li 0.032 0.156 0.387
Li7 Li 0.387 0.032 0.156
Li8 Li 0.807 0.523 0.423
Li9 Li 0.156 0.387 0.032
Li10 Li 0.193 0.477 0.577
Li11 Li 0.844 0.613 0.968
Li12 Li 0.477 0.577 0.193
Ag1 Ag 0.880 0.276 0.732
Ag2 Ag 0.120 0.724 0.268
Ag3 Ag 0.724 0.268 0.120
Ag4 Ag 0.276 0.732 0.880
Ag5 Ag 0.268 0.120 0.724
Ag6 Ag 0.732 0.880 0.276
Mg1 Mg 0.000 0.000 0.000

***

Repeat the third record exactly.
# Li2MgAg3 PBE relaxed
# * ΔE to the lowest computed polymorph: 0 meV per atom
# * ΔE_f: -0.225 eV/atom
# * total magnetic moment: 0.00 μB per formula unit
data_Li2MgAg3
_chemical_formula_sum 'Li4 Mg2 Ag6'
_symmetry_space_group_name_H-M 'P 1'
_symmetry_Int_Tables_number 1
_cell_length_a 4.643
_cell_length_b 7.244
_cell_length_c 6.261
_cell_angle_alpha 90.00
_cell_angle_beta 90.00
_cell_angle_gamma 73.87
loop_
_symmetry_equiv_pos_as_xyz
'x,y,z'
loop_
_atom_site_label
_atom_site_type_symbol
_atom_site_fract_x
_atom_site_fract_y
_atom_site_fract_z
Mg1 Mg 0.670 0.668 0.000
Mg2 Mg 0.330 0.332 0.000
Li1 Li 0.000 0.000 0.500
Li2 Li 0.000 0.000 0.000
Li3 Li 0.329 0.336 0.500
Li4 Li 0.671 0.664 0.500
Ag1 Ag 0.167 0.673 0.740
Ag2 Ag 0.167 0.673 0.260
Ag3 Ag 0.833 0.327 0.260
Ag4 Ag 0.500 0.000 0.259
Ag5 Ag 0.833 0.327 0.740
Ag6 Ag 0.500 0.000 0.741

***

Which value of ΔE_f does entry 4 give? -0.137 eV/atom